1.
A relaxed NaNiCl crystal, computed with PBE.

Lattice parameters (Å, degrees): 14.248 5.438 5.438 143.72 146.99 33.01
Sites, in units of the cell vectors:
Na1 0.401 0.261 0.739
Na2 0.898 0.394 0.606
Ni1 0.309 0.095 0.905
Ni2 0.068 0.899 0.101
Cl1 0.860 0.715 0.285
Cl2 0.524 0.391 0.609

Calculated values
- energy relative to the lowest polymorph listed for this composition (meV/atom) = 136
- symmetry = Cm

2.
A relaxed Na2NiCl4 crystal, computed with PBE.

Lattice parameters (Å, degrees): 6.679 6.679 6.030 123.63 123.63 90.00
Sites, in units of the cell vectors:
Cl1 0.269 0.269 0.000
Cl2 0.268 0.731 0.000
Cl3 0.732 0.732 0.000
Cl4 0.731 0.268 0.000
Na1 0.750 0.250 0.500
Na2 0.250 0.750 0.500
Ni1 0.500 0.500 0.000

Calculated values
- energy relative to the lowest polymorph listed for this composition (meV/atom) = 0
- symmetry = I4/mmm

3.
A relaxed NaNiCl crystal, computed with PBE.

Lattice parameters (Å, degrees): 8.514 8.138 4.058 90.00 90.00 90.00
Sites, in units of the cell vectors:
Na1 0.250 0.250 0.749
Na2 0.750 0.750 0.251
Na3 0.250 0.750 0.249
Na4 0.750 0.250 0.751
Ni1 0.500 0.750 0.641
Ni2 0.000 0.750 0.859
Ni3 0.000 0.250 0.141
Ni4 0.500 0.250 0.359
Cl1 0.000 0.500 0.000
Cl2 0.000 0.000 0.000
Cl3 0.500 0.000 0.500
Cl4 0.500 0.500 0.500

Calculated values
- energy relative to the lowest polymorph listed for this composition (meV/atom) = 431
- symmetry = Pnma

4.
A relaxed NaNiCl crystal, computed with PBE.

Lattice parameters (Å, degrees): 3.342 6.029 6.029 86.84 90.00 90.00
Sites, in units of the cell vectors:
Na1 0.500 0.591 0.844
Na2 0.500 0.156 0.409
Cl1 0.000 0.225 0.775
Cl2 0.500 0.638 0.362
Ni1 0.500 0.031 0.969
Ni2 0.000 0.827 0.173

Calculated values
- energy relative to the lowest polymorph listed for this composition (meV/atom) = 125
- symmetry = Amm2

5.
A relaxed NaNi2PCl crystal, computed with PBE.

Lattice parameters (Å, degrees): 4.099 6.716 4.099 90.00 90.00 90.00
Sites, in units of the cell vectors:
P1 0.000 0.000 0.000
Ni1 0.000 0.000 0.500
Ni2 0.500 0.000 0.000
Na1 0.500 0.500 0.500
Cl1 0.000 0.500 0.000

Calculated values
- symmetry = P4/mmm

6.
A relaxed Na2NiPbCl6 crystal, computed with PBE.

Lattice parameters (Å, degrees): 6.899 6.897 7.304 61.81 61.80 59.99
Sites, in units of the cell vectors:
Na1 0.017 0.017 0.949
Na2 0.527 0.527 0.421
Cl1 0.121 0.417 0.782
Cl2 0.973 0.562 0.242
Cl3 0.417 0.680 0.782
Cl4 0.223 0.973 0.242
Cl5 0.680 0.121 0.782
Cl6 0.562 0.223 0.242
Pb1 0.818 0.818 0.547
Ni1 0.325 0.325 0.026

Calculated values
- symmetry = R3

Number 1: raw formation energy -0.47 eV/atom. Number 2: raw formation energy -1.22 eV/atom. Number 3: raw formation energy -0.18 eV/atom. Number 4: raw formation energy -0.49 eV/atom. Number 5: raw formation energy -0.27 eV/atom. Number 6: raw formation energy -1.19 eV/atom.